# 1
First-principles (PBE-GGA) data for a geometry-optimized Cr2HgRh structure, as listed in Alexandria.

Unit cell a=4.7752 b=4.7752 c=2.7669 alpha=90.00 beta=90.00 gamma=111.48
Fractional coordinates of all 4 atoms:
Cr 0.0000 0.5000 0.0000
Cr 0.5000 0.0000 0.0000
Hg 0.0000 0.0000 0.5000
Rh 0.5000 0.5000 0.5000

- Size of the total moment: 2.48 μB/cell
- Volume: 58.71 Å³/cell
- Electronic total energy: -6.22 eV per atom
- Space-group type: No. 65

=====

# 2
First-principles (PBE-GGA) data for a geometry-optimized Cr2HgRh structure, as listed in Alexandria.

Unit cell a=2.9785 b=2.9785 c=6.8875 alpha=90.00 beta=90.00 gamma=90.00
Fractional coordinates of all 4 atoms:
Cr 0.0000 0.0000 0.0000
Cr 0.5000 0.5000 0.1893
Hg 0.0000 0.0000 0.4830
Rh 0.5000 0.5000 0.7748

- Size of the total moment: 0.74 μB/cell
- Volume: 61.10 Å³/cell
- Electronic total energy: -6.51 eV per atom
- Space-group type: No. 99

=====

# 3
First-principles (PBE-GGA) data for a geometry-optimized CrHgRh4 structure, as listed in Alexandria.

Unit cell a=5.1645 b=5.1645 c=5.1645 alpha=60.00 beta=60.00 gamma=60.00
Fractional coordinates of all 6 atoms:
Cr 0.0000 0.0000 0.0000
Hg 0.7500 0.7500 0.7500
Rh 0.3749 0.3749 0.3749
Rh 0.3749 0.3749 0.8752
Rh 0.3749 0.8752 0.3749
Rh 0.8752 0.3749 0.3749

- Size of the total moment: 2.50 μB/cell
- Volume: 97.40 Å³/cell
- Electronic total energy: -6.25 eV per atom
- Space-group type: No. 216

=====

# 4
First-principles (PBE-GGA) data for a geometry-optimized CrHg2Rh structure, as listed in Alexandria.

Unit cell a=3.0369 b=3.0369 c=7.9458 alpha=90.00 beta=90.00 gamma=90.00
Fractional coordinates of all 4 atoms:
Cr 0.0000 0.0000 0.0000
Hg 0.0000 0.0000 0.5717
Hg 0.5000 0.5000 0.2540
Rh 0.5000 0.5000 0.8270

- Size of the total moment: 2.96 μB/cell
- Volume: 73.28 Å³/cell
- Electronic total energy: -4.21 eV per atom
- Space-group type: No. 99

=====

# 5
First-principles (PBE-GGA) data for a geometry-optimized Cr2HgRh structure, as listed in Alexandria.

Unit cell a=5.2193 b=5.2193 c=5.2193 alpha=146.01 beta=128.40 gamma=63.24
Fractional coordinates of all 4 atoms:
Cr 0.0000 0.0000 0.0000
Cr 0.7916 0.2916 0.5000
Hg 0.5216 0.5216 0.0000
Rh 0.2458 0.7458 0.5000

- Size of the total moment: 0.01 μB/cell
- Volume: 61.61 Å³/cell
- Electronic total energy: -6.42 eV per atom
- Space-group type: No. 44

=====

# 6
First-principles (PBE-GGA) data for a geometry-optimized CrHg2Rh structure, as listed in Alexandria.

Unit cell a=4.9258 b=4.9258 c=5.0815 alpha=101.30 beta=101.30 gamma=36.94
Fractional coordinates of all 4 atoms:
Cr 0.0000 0.0000 0.0000
Hg 0.2492 0.2492 0.7468
Hg 0.7508 0.7508 0.2532
Rh 0.5000 0.5000 0.5000

- Size of the total moment: 3.70 μB/cell
- Volume: 72.50 Å³/cell
- Electronic total energy: -4.07 eV per atom
- Space-group type: No. 12

=====

no.,DFT formation energy (meV/atom)
1,502
2,217
3,305
4,189
5,304
6,325